Entry 1:
## AcPuAlHg (PBE-GGA)

Data for AcPuAlHg after structural relaxation. Values from VASP.

Output
Its formation energy from the elements is -0.15 eV per atom. As for the space group: No. 216. The calculated total energy is -0.424 Ry/atom. The total magnetic moment is 6.4 μB per formula unit. For the density of states at the Fermi level, the calculation gives 2.5732 states/eV per atom.

Structure (Quantum ESPRESSO input):
```
&SYSTEM
  ibrav = 0, nat = 4, ntyp = 4
/
ATOMIC_SPECIES
Ac 227.00 Ac.upf
Pu 244.00 Pu.upf
Al 26.98 Al.upf
Hg 200.59 Hg.upf
ATOMIC_POSITIONS angstrom
Ac 0.000 0.000 0.000
Pu 3.872 3.872 3.872
Al 1.936 1.936 1.936
Hg 5.809 5.809 5.809
CELL_PARAMETERS angstrom
0.000 3.872 3.872
3.872 0.000 3.872
3.872 3.872 0.000
```


Entry 2:
## Ac2Al4Si3Hg (PBE-GGA)

Data for Ac2Al4Si3Hg after structural relaxation. Values from VASP.

Output
As for the space group: No. 115. The calculated total energy is -0.313 Ry/atom. As for the energy relative to the elements, uncorrected: -270.8 kJ/mol of formula units. The total magnetic moment is 0.0 μB per formula unit. For the density of states at the Fermi level, the calculation gives 0.3710 states/eV per atom.

Structure (Quantum ESPRESSO input):
```
&SYSTEM
  ibrav = 0, nat = 10, ntyp = 4
/
ATOMIC_SPECIES
Ac 227.00 Ac.upf
Al 26.98 Al.upf
Si 28.09 Si.upf
Hg 200.59 Hg.upf
ATOMIC_POSITIONS angstrom
Ac 0.000 2.376 2.427
Ac 2.376 0.000 7.355
Al 0.000 0.000 4.891
Al 0.000 2.376 8.555
Al 2.376 0.000 1.227
Al 2.376 2.376 4.891
Si 0.000 0.000 0.000
Si 0.000 2.376 6.016
Si 2.376 0.000 3.766
Hg 2.376 2.376 0.000
CELL_PARAMETERS angstrom
4.752 0.000 0.000
0.000 4.752 0.000
0.000 0.000 9.782
```


Entry 3:
## Ac2AlSiHg (PBE-GGA)

Data for Ac2AlSiHg after structural relaxation. Values from VASP.

Output
As for the space group: No. 11. The calculated total energy is -0.291 Ry/atom. As for the energy relative to the elements, uncorrected: -201.9 kJ/mol of formula units. The total magnetic moment is 0.0 μB per formula unit. For the density of states at the Fermi level, the calculation gives 0.7430 states/eV per atom.

Structure (Quantum ESPRESSO input):
```
&SYSTEM
  ibrav = 0, nat = 10, ntyp = 4
/
ATOMIC_SPECIES
Ac 227.00 Ac.upf
Al 26.98 Al.upf
Si 28.09 Si.upf
Hg 200.59 Hg.upf
ATOMIC_POSITIONS angstrom
Ac 1.391 1.189 8.006
Ac 1.687 1.189 3.929
Ac 6.038 3.566 4.080
Ac 6.334 3.566 0.002
Al 3.122 3.566 6.205
Al 4.603 1.189 1.804
Si 0.668 3.566 5.918
Si 7.057 1.189 2.091
Hg 3.219 3.566 1.824
Hg 4.506 1.189 6.184
CELL_PARAMETERS angstrom
7.989 0.000 0.000
0.000 4.754 0.000
-0.264 0.000 8.008
```


Entry 4:
## Ac2Al4SiHg3 (PBE-GGA)

Data for Ac2Al4SiHg3 after structural relaxation. Values from VASP.

Output
As for the space group: No. 115. The calculated total energy is -0.242 Ry/atom. As for the energy relative to the elements, uncorrected: -322.9 kJ/mol of formula units. The total magnetic moment is 0.0 μB per formula unit. For the density of states at the Fermi level, the calculation gives 0.3750 states/eV per atom.

Structure (Quantum ESPRESSO input):
```
&SYSTEM
  ibrav = 0, nat = 10, ntyp = 4
/
ATOMIC_SPECIES
Ac 227.00 Ac.upf
Al 26.98 Al.upf
Si 28.09 Si.upf
Hg 200.59 Hg.upf
ATOMIC_POSITIONS angstrom
Ac 0.000 2.332 2.627
Ac 2.332 0.000 8.152
Al 0.000 0.000 5.389
Al 0.000 2.332 9.472
Al 2.332 0.000 1.307
Al 2.332 2.332 5.389
Si 2.332 2.332 0.000
Hg 0.000 0.000 0.000
Hg 0.000 2.332 6.843
Hg 2.332 0.000 3.936
CELL_PARAMETERS angstrom
4.665 0.000 0.000
0.000 4.665 0.000
0.000 0.000 10.779
```


Entry 5:
## Ac2Al3SnHg4 (PBE-GGA)

Data for Ac2Al3SnHg4 after structural relaxation. Values from VASP.

Output
Its formation energy from the elements is -0.35 eV per atom. As for the space group: No. 115. The calculated total energy is -0.207 Ry/atom. The total magnetic moment is 0.0 μB per formula unit. For the density of states at the Fermi level, the calculation gives 0.1968 states/eV per atom.

Structure (Quantum ESPRESSO input):
```
&SYSTEM
  ibrav = 0, nat = 10, ntyp = 4
/
ATOMIC_SPECIES
Ac 227.00 Ac.upf
Al 26.98 Al.upf
Sn 118.71 Sn.upf
Hg 200.59 Hg.upf
ATOMIC_POSITIONS angstrom
Ac 0.000 2.364 2.721
Ac 2.364 0.000 8.601
Al 0.000 2.364 9.939
Al 2.364 0.000 1.382
Al 2.364 2.364 5.661
Sn 0.000 0.000 5.661
Hg 0.000 0.000 0.000
Hg 0.000 2.364 7.340
Hg 2.364 0.000 3.982
Hg 2.364 2.364 0.000
CELL_PARAMETERS angstrom
4.728 0.000 0.000
0.000 4.728 0.000
0.000 0.000 11.322
```


Entry 6:
## AcAlSnHg (PBE-GGA)

Data for AcAlSnHg after structural relaxation. Values from VASP.

Output
Its formation energy from the elements is -0.23 eV per atom. As for the space group: No. 216. The calculated total energy is -0.241 Ry/atom. The total magnetic moment is 0.0 μB per formula unit. For the density of states at the Fermi level, the calculation gives 0.5244 states/eV per atom.

Structure (Quantum ESPRESSO input):
```
&SYSTEM
  ibrav = 0, nat = 4, ntyp = 4
/
ATOMIC_SPECIES
Ac 227.00 Ac.upf
Al 26.98 Al.upf
Sn 118.71 Sn.upf
Hg 200.59 Hg.upf
ATOMIC_POSITIONS angstrom
Ac 0.000 0.000 0.000
Al 5.715 5.715 5.715
Sn 3.810 3.810 3.810
Hg 1.905 1.905 1.905
CELL_PARAMETERS angstrom
0.000 3.810 3.810
3.810 0.000 3.810
3.810 3.810 0.000
```


Entry 7:
## Ac2TbAl3Hg12 (PBE-GGA)

Data for Ac2TbAl3Hg12 after structural relaxation. Values from VASP.

Output
Its formation energy from the elements is -0.02 eV per atom. As for the space group: No. 166. The calculated total energy is -0.114 Ry/atom. The total magnetic moment is 0.0 μB per formula unit. For the density of states at the Fermi level, the calculation gives 0.3962 states/eV per atom.

Structure (Quantum ESPRESSO input):
```
&SYSTEM
  ibrav = 0, nat = 18, ntyp = 4
/
ATOMIC_SPECIES
Ac 227.00 Ac.upf
Tb 158.93 Tb.upf
Al 26.98 Al.upf
Hg 200.59 Hg.upf
ATOMIC_POSITIONS angstrom
Ac 0.000 0.000 2.202
Ac 0.000 0.000 21.452
Tb 0.000 0.000 11.827
Al -2.190 -1.265 7.885
Al -2.190 1.265 15.770
Al 0.000 2.529 7.885
Hg -2.737 -1.580 10.882
Hg 0.000 -1.962 9.197
Hg -1.699 0.981 9.197
Hg 0.000 -3.161 12.772
Hg -2.737 1.580 12.772
Hg -1.699 -0.981 14.457
Hg 1.699 0.981 9.197
Hg 2.737 -1.580 10.882
Hg 0.000 3.161 10.882
Hg 1.699 -0.981 14.457
Hg 0.000 1.962 14.457
Hg 2.737 1.580 12.772
CELL_PARAMETERS angstrom
4.381 2.529 7.885
-4.381 2.529 7.885
0.000 -5.059 7.885
```


Entry 8:
## AcThAlHg (PBE-GGA)

Data for AcThAlHg after structural relaxation. Values from VASP.

Output
Its formation energy from the elements is -0.20 eV per atom. As for the space group: No. 216. The calculated total energy is -0.301 Ry/atom. The total magnetic moment is 0.0 μB per formula unit. For the density of states at the Fermi level, the calculation gives 1.2355 states/eV per atom.

Structure (Quantum ESPRESSO input):
```
&SYSTEM
  ibrav = 0, nat = 4, ntyp = 4
/
ATOMIC_SPECIES
Ac 227.00 Ac.upf
Th 232.04 Th.upf
Al 26.98 Al.upf
Hg 200.59 Hg.upf
ATOMIC_POSITIONS angstrom
Ac 0.000 0.000 0.000
Th 3.895 3.895 3.895
Al 1.948 1.948 1.948
Hg 5.843 5.843 5.843
CELL_PARAMETERS angstrom
0.000 3.895 3.895
3.895 0.000 3.895
3.895 3.895 0.000
```


Entry 9:
## AcAlTlHg (PBE-GGA)

Data for AcAlTlHg after structural relaxation. Values from VASP.

Output
Its formation energy from the elements is -0.18 eV per atom. As for the space group: No. 216. The calculated total energy is -0.207 Ry/atom. The total magnetic moment is 0.0 μB per formula unit. For the density of states at the Fermi level, the calculation gives 0.8703 states/eV per atom.

Structure (Quantum ESPRESSO input):
```
&SYSTEM
  ibrav = 0, nat = 4, ntyp = 4
/
ATOMIC_SPECIES
Ac 227.00 Ac.upf
Al 26.98 Al.upf
Tl 204.38 Tl.upf
Hg 200.59 Hg.upf
ATOMIC_POSITIONS angstrom
Ac 0.000 0.000 0.000
Al 3.831 3.831 3.831
Tl 5.747 5.747 5.747
Hg 1.916 1.916 1.916
CELL_PARAMETERS angstrom
0.000 3.831 3.831
3.831 0.000 3.831
3.831 3.831 0.000
```


Entry 10:
## Ac2Al4TlHg3 (PBE-GGA)

Data for Ac2Al4TlHg3 after structural relaxation. Values from VASP.

Output
Its formation energy from the elements is -0.32 eV per atom. As for the space group: No. 115. The calculated total energy is -0.218 Ry/atom. The total magnetic moment is 0.0 μB per formula unit. For the density of states at the Fermi level, the calculation gives 0.2392 states/eV per atom.

Structure (Quantum ESPRESSO input):
```
&SYSTEM
  ibrav = 0, nat = 10, ntyp = 4
/
ATOMIC_SPECIES
Ac 227.00 Ac.upf
Al 26.98 Al.upf
Tl 204.38 Tl.upf
Hg 200.59 Hg.upf
ATOMIC_POSITIONS angstrom
Ac 0.000 2.353 2.730
Ac 2.353 0.000 8.410
Al 0.000 0.000 0.000
Al 0.000 2.353 7.101
Al 2.353 0.000 4.039
Al 2.353 2.353 0.000
Tl 0.000 0.000 5.570
Hg 0.000 2.353 9.716
Hg 2.353 0.000 1.424
Hg 2.353 2.353 5.570
CELL_PARAMETERS angstrom
4.706 0.000 0.000
0.000 4.706 0.000
0.000 0.000 11.140
```


Entry 11:
## AcTmAlHg (PBE-GGA)

Data for AcTmAlHg after structural relaxation. Values from VASP.

Output
Its formation energy from the elements is -0.31 eV per atom. As for the space group: No. 216. The calculated total energy is -0.255 Ry/atom. The total magnetic moment is 0.0 μB per formula unit. For the density of states at the Fermi level, the calculation gives 1.0262 states/eV per atom.

Structure (Quantum ESPRESSO input):
```
&SYSTEM
  ibrav = 0, nat = 4, ntyp = 4
/
ATOMIC_SPECIES
Ac 227.00 Ac.upf
Tm 168.93 Tm.upf
Al 26.98 Al.upf
Hg 200.59 Hg.upf
ATOMIC_POSITIONS angstrom
Ac 0.000 0.000 0.000
Tm 3.849 3.849 3.849
Al 5.773 5.773 5.773
Hg 1.924 1.924 1.924
CELL_PARAMETERS angstrom
0.000 3.849 3.849
3.849 0.000 3.849
3.849 3.849 0.000
```


Entry 12:
## AcTmAl2Hg5 (PBE-GGA)

Data for AcTmAl2Hg5 after structural relaxation. Values from VASP.

Output
Its formation energy from the elements is -0.17 eV per atom. As for the space group: No. 123. The calculated total energy is -0.156 Ry/atom. The total magnetic moment is 0.0 μB per formula unit. For the density of states at the Fermi level, the calculation gives 0.3921 states/eV per atom.

Structure (Quantum ESPRESSO input):
```
&SYSTEM
  ibrav = 0, nat = 9, ntyp = 4
/
ATOMIC_SPECIES
Ac 227.00 Ac.upf
Tm 168.93 Tm.upf
Al 26.98 Al.upf
Hg 200.59 Hg.upf
ATOMIC_POSITIONS angstrom
Ac 0.000 0.000 0.000
Tm 0.000 0.000 4.109
Al 2.641 2.641 2.801
Al 2.641 2.641 5.416
Hg 0.000 2.641 2.293
Hg 0.000 2.641 5.924
Hg 2.641 0.000 2.293
Hg 2.641 0.000 5.924
Hg 2.641 2.641 0.000
CELL_PARAMETERS angstrom
5.282 0.000 0.000
0.000 5.282 0.000
0.000 0.000 8.218
```